[1]
## YCo2Sb (GGA-PBEsol)

Data for a relaxed YCo2Sb crystal.

Calculated values
DFT total energy (eV per cell): -26.25
Formation energy from raw total energies (eV per atom): 0.15
Total magnetization (μB/f.u.): 2.58

Geometry as extended XYZ:
```
4
Lattice="0.000 3.248 3.248 3.248 0.000 3.248 3.248 3.248 0.000" Properties=species:S:1:pos:R:3 pbc="T T T"
Y 0.000 0.000 0.000
Co 3.248 3.248 3.248
Co 4.872 4.872 4.872
Sb 1.624 1.624 1.624
```

[2]
## FeCoNi2 (GGA-PBEsol)

Data for a relaxed FeCoNi2 crystal.

Calculated values
DFT total energy (eV per cell): -29.20
Energy relative to the elements (eV/atom): -0.045
Total magnetization (μB/f.u.): 5.53

Geometry as extended XYZ:
```
4
Lattice="-1.724 1.724 3.549 1.724 -1.724 3.549 1.724 1.724 -3.549" Properties=species:S:1:pos:R:3 pbc="T T T"
Fe 0.000 0.000 0.000
Co 0.000 0.000 3.549
Ni 1.724 0.000 1.774
Ni 0.000 1.724 1.774
```

[3]
## BeNO3 (GGA-PBEsol)

Data for a relaxed BeNO3 crystal.

Calculated values
DFT total energy (eV per cell): -23.80
Formation energy from raw total energies (eV per atom): 0.89
Total magnetization (μB/f.u.): 1.00

Geometry as extended XYZ:
```
5
Lattice="3.427 0.000 0.000 0.000 3.427 0.000 0.000 0.000 3.427" Properties=species:S:1:pos:R:3 pbc="T T T"
Be 0.000 0.000 0.000
N 1.713 1.713 1.713
O 0.000 0.000 1.713
O 0.000 1.713 0.000
O 1.713 0.000 0.000
```